Record 1
VASP calculation (PBE) on a relaxed structure of AlCrI3.

Values from the calculation:
The polymorph energy (0 for the lowest one) comes out at 0.000 kcal/mol of atoms.

Cell: 5.6104 5.6104 5.6104 Å, 90.00 90.00 90.00°
Last column: nearest neighbours and their distance in Å.
Positions (direct):
Al1 0.0000 0.0000 0.0000  12 I 3.97
Cr1 0.5000 0.5000 0.5000  6 I 2.81
I1 0.0000 0.5000 0.5000  2 Cr 2.81
I2 0.5000 0.0000 0.5000  2 Cr 2.81
I3 0.5000 0.5000 0.0000  2 Cr 2.81

***

Record 2
VASP calculation (PBE) on a relaxed structure of RbAg7F12.

Cell: 7.5005 7.5005 7.5005 Å, 109.47 109.47 109.47°
Last column: nearest neighbours and their distance in Å.
Positions (direct):
Rb1 0.0000 0.0000 0.0000  12 F 3.11
Ag1 0.0000 0.0000 0.5000  6 F 2.33
Ag2 0.0000 0.5000 0.0000  6 F 2.33
Ag3 0.0000 0.5000 0.5000  4 F 2.21
Ag4 0.5000 0.0000 0.0000  6 F 2.33
Ag5 0.5000 0.0000 0.5000  4 F 2.21
Ag6 0.5000 0.5000 0.0000  4 F 2.21
Ag7 0.5000 0.5000 0.5000  6 F 2.33
F1 0.1395 0.3137 0.8258  3 Ag 2.21-2.33
F2 0.1742 0.4878 0.3137  3 Ag 2.21-2.33
F3 0.1742 0.8605 0.6863  3 Ag 2.21-2.33
F4 0.3137 0.1742 0.4878  3 Ag 2.21-2.33
F5 0.3137 0.8258 0.1395  3 Ag 2.21-2.33
F6 0.4878 0.3137 0.1742  3 Ag 2.21-2.33
F7 0.5122 0.6863 0.8258  3 Ag 2.21-2.33
F8 0.6863 0.1742 0.8605  3 Ag 2.21-2.33
F9 0.6863 0.8258 0.5122  3 Ag 2.21-2.33
F10 0.8258 0.1395 0.3137  3 Ag 2.21-2.33
F11 0.8258 0.5122 0.6863  3 Ag 2.21-2.33
F12 0.8605 0.6863 0.1742  3 Ag 2.21-2.33

***

How do the records compare in uncorrected energy? In the order shown, they have -3.612, -3.465 eV per atom.
How do the records compare in formation energy from raw total energies? In the order shown, they have -0.01, -1.30 eV per atom.
How do the records compare in calculated density? In the order shown, they have 4.32, 5.46 g cm⁻³.